Density functional theory data (PBE) for crystalline Ga2Ni2Se at its relaxed geometry.

Computed properties:
Crystal system: tetragonal

Structure (CIF):
```
data_Ga2Ni2Se
_cell_length_a 7.158
_cell_length_b 7.158
_cell_length_c 2.808
_cell_angle_alpha 90.00
_cell_angle_beta 90.00
_cell_angle_gamma 90.00
_symmetry_space_group_name_H-M 'P 4/m b m'
_symmetry_Int_Tables_number 127
_symmetry_space_group_name_Hall '-P 4 2ab'
loop_
_atom_site_label
_atom_site_type_symbol
_atom_site_fract_x
_atom_site_fract_y
_atom_site_fract_z
Ga1 Ga 0.151 0.349 0.000
Ni1 Ni 0.145 0.645 0.500
Se1 Se 0.000 0.000 0.500
```

***

Density functional theory data (PBE) for crystalline Ta2GaNiSe at its relaxed geometry.

Computed properties:
Crystal system: tetragonal

Structure (CIF):
```
data_Ta2GaNiSe
_cell_length_a 4.790
_cell_length_b 4.790
_cell_length_c 4.713
_cell_angle_alpha 90.00
_cell_angle_beta 90.00
_cell_angle_gamma 90.00
_symmetry_space_group_name_H-M 'P 4/m m m'
_symmetry_Int_Tables_number 123
_symmetry_space_group_name_Hall '-P 4 2'
loop_
_atom_site_label
_atom_site_type_symbol
_atom_site_fract_x
_atom_site_fract_y
_atom_site_fract_z
Ta1 Ta 0.000 0.500 0.000
Ga1 Ga 0.000 0.000 0.000
Ni1 Ni 0.500 0.500 0.500
Se1 Se 0.000 0.000 0.500
```

***

Density functional theory data (PBE) for crystalline YGa2NiSe at its relaxed geometry.

Computed properties:
Crystal system: tetragonal

Structure (CIF):
```
data_YGa2NiSe
_cell_length_a 4.445
_cell_length_b 4.445
_cell_length_c 5.252
_cell_angle_alpha 90.00
_cell_angle_beta 90.00
_cell_angle_gamma 90.00
_symmetry_space_group_name_H-M 'P 4/m m m'
_symmetry_Int_Tables_number 123
_symmetry_space_group_name_Hall '-P 4 2'
loop_
_atom_site_label
_atom_site_type_symbol
_atom_site_fract_x
_atom_site_fract_y
_atom_site_fract_z
Y1 Y 0.000 0.000 0.000
Ga1 Ga 0.000 0.500 0.500
Ni1 Ni 0.500 0.500 0.500
Se1 Se 0.500 0.500 0.000
```

***

Density functional theory data (PBE) for crystalline ZnGaNiSe2 at its relaxed geometry.

Computed properties:
Crystal system: tetragonal

Structure (CIF):
```
data_ZnGaNiSe2
_cell_length_a 4.797
_cell_length_b 4.797
_cell_length_c 4.564
_cell_angle_alpha 90.00
_cell_angle_beta 90.00
_cell_angle_gamma 90.00
_symmetry_space_group_name_H-M 'P 4/m m m'
_symmetry_Int_Tables_number 123
_symmetry_space_group_name_Hall '-P 4 2'
loop_
_atom_site_label
_atom_site_type_symbol
_atom_site_fract_x
_atom_site_fract_y
_atom_site_fract_z
Zn1 Zn 0.000 0.000 0.000
Ga1 Ga 0.500 0.500 0.000
Ni1 Ni 0.000 0.000 0.500
Se1 Se 0.000 0.500 0.500
```

***

Density functional theory data (PBE) for crystalline ZrGa2NiSe at its relaxed geometry.

Computed properties:
Crystal system: tetragonal

Structure (CIF):
```
data_ZrGa2NiSe
_cell_length_a 4.405
_cell_length_b 4.405
_cell_length_c 5.013
_cell_angle_alpha 90.00
_cell_angle_beta 90.00
_cell_angle_gamma 90.00
_symmetry_space_group_name_H-M 'P 4/m m m'
_symmetry_Int_Tables_number 123
_symmetry_space_group_name_Hall '-P 4 2'
loop_
_atom_site_label
_atom_site_type_symbol
_atom_site_fract_x
_atom_site_fract_y
_atom_site_fract_z
Zr1 Zr 0.000 0.000 0.000
Ga1 Ga 0.000 0.500 0.500
Ni1 Ni 0.500 0.500 0.500
Se1 Se 0.500 0.500 0.000
```

***

Density functional theory data (PBE) for crystalline Ga3Si2Ni7 at its relaxed geometry.

Computed properties:
Crystal system: orthorhombic

Structure (CIF):
```
data_Ga3Si2Ni7
_cell_length_a 4.015
_cell_length_b 18.631
_cell_length_c 4.077
_cell_angle_alpha 90.00
_cell_angle_beta 90.00
_cell_angle_gamma 90.00
_symmetry_space_group_name_H-M 'C m m m'
_symmetry_Int_Tables_number 65
_symmetry_space_group_name_Hall '-C 2 2'
loop_
_atom_site_label
_atom_site_type_symbol
_atom_site_fract_x
_atom_site_fract_y
_atom_site_fract_z
Ga1 Ga 0.000 0.000 0.000
Ga2 Ga 0.000 0.159 0.000
Si1 Si 0.000 0.350 0.500
Ni1 Ni 0.000 0.080 0.500
Ni2 Ni 0.000 0.218 0.500
Ni3 Ni 0.000 0.420 0.000
Ni4 Ni 0.000 0.500 0.500
```

***

Density functional theory data (PBE) for crystalline Ga2SiNi5 at its relaxed geometry.

Computed properties:
Crystal system: tetragonal

Structure (CIF):
```
data_Ga2SiNi5
_cell_length_a 3.687
_cell_length_b 3.687
_cell_length_c 13.662
_cell_angle_alpha 90.00
_cell_angle_beta 90.00
_cell_angle_gamma 90.00
_symmetry_space_group_name_H-M 'I 4/m m m'
_symmetry_Int_Tables_number 139
_symmetry_space_group_name_Hall '-I 4 2'
loop_
_atom_site_label
_atom_site_type_symbol
_atom_site_fract_x
_atom_site_fract_y
_atom_site_fract_z
Ga1 Ga 0.000 0.000 0.244
Si1 Si 0.000 0.000 0.500
Ni1 Ni 0.000 0.000 0.000
Ni2 Ni 0.000 0.500 0.121
```

***

Density functional theory data (PBE) for crystalline GaSi2Ni7 at its relaxed geometry.

Computed properties:
Crystal system: tetragonal

Structure (CIF):
```
data_GaSi2Ni7
_cell_length_a 3.699
_cell_length_b 3.699
_cell_length_c 17.648
_cell_angle_alpha 90.00
_cell_angle_beta 90.00
_cell_angle_gamma 90.00
_symmetry_space_group_name_H-M 'I 4/m m m'
_symmetry_Int_Tables_number 139
_symmetry_space_group_name_Hall '-I 4 2'
loop_
_atom_site_label
_atom_site_type_symbol
_atom_site_fract_x
_atom_site_fract_y
_atom_site_fract_z
Ga1 Ga 0.000 0.000 0.000
Si1 Si 0.000 0.000 0.328
Ni1 Ni 0.000 0.000 0.500
Ni2 Ni 0.000 0.500 0.098
Ni3 Ni 0.000 0.500 0.250
```

***

Uncorrected formation energy for every record listed, in sequence, given in eV per formula unit: -0.68; 8.19; -1.81; 0.40; 0.31; -3.36; -2.86; -3.73.
Energy for every record listed, in sequence, given in eV for the cell shown: -43.56; -27.81; -23.59; -16.65; -23.56; -127.51; -86.48; -116.14.
Calculated volume for every record listed, in sequence, given in Å³/cell: 143.87; 108.14; 103.76; 105.02; 97.30; 304.98; 185.73; 241.54.